Record 1
Compound: Ca2ScMnIn
Source: the Alexandria database
Functional: GGA-PBE
Structure: relaxed Values from VASP.

Magnetization = 3.0 μB per cell
Mass density = 2.66 g/cm³
DFT formation energy = 94 kJ per mole of atoms

```
&SYSTEM
  ibrav = 0, nat = 5, ntyp = 4
/
ATOMIC_SPECIES
Sc 44.96 Sc.upf
Ca 40.08 Ca.upf
Mn 54.94 Mn.upf
In 114.82 In.upf
CELL_PARAMETERS angstrom
5.818 0.000 0.000
0.000 5.440 0.000
0.000 0.000 5.818
ATOMIC_POSITIONS crystal
Sc 0.000 0.000 0.000
Ca 0.000 0.000 0.500
Ca 0.500 0.000 0.000
Mn 0.500 0.500 0.500
In 0.000 0.500 0.000
```

Record 2
Compound: CaMn2InSe
Source: the Alexandria database
Functional: GGA-PBE
Structure: relaxed Values from VASP.

Magnetization = 9.1 μB per cell
Uncorrected energy = -22.3 eV per cell
Mass density = 2.71 g/cm³

```
&SYSTEM
  ibrav = 0, nat = 5, ntyp = 4
/
ATOMIC_SPECIES
Ca 40.08 Ca.upf
Mn 54.94 Mn.upf
Se 78.96 Se.upf
In 114.82 In.upf
CELL_PARAMETERS angstrom
-4.625 0.183 -3.510
2.834 -3.237 -3.903
-2.232 -5.175 2.671
ATOMIC_POSITIONS crystal
Ca 0.500 0.500 0.500
Mn 0.000 0.500 0.000
Mn 0.500 0.000 0.000
Se 0.000 0.000 0.500
In 0.000 0.000 0.000
```

Record 3
Compound: CaMnIn4Se8
Source: the Alexandria database
Functional: GGA-PBE
Structure: relaxed Values from VASP.

Magnetization = 4.9 μB per cell
Uncorrected energy = -59.2 eV per cell
Mass density = 5.05 g/cm³

```
&SYSTEM
  ibrav = 0, nat = 14, ntyp = 4
/
ATOMIC_SPECIES
Ca 40.08 Ca.upf
Mn 54.94 Mn.upf
In 114.82 In.upf
Se 78.96 Se.upf
CELL_PARAMETERS angstrom
8.247 0.000 0.000
4.124 7.142 0.000
4.124 2.381 6.620
ATOMIC_POSITIONS crystal
Ca 0.381 0.381 0.856
Mn 0.004 0.004 0.989
In 0.620 0.620 0.140
In 0.003 0.489 0.504
In 0.489 0.003 0.504
In 0.003 0.003 0.504
Se 0.231 0.790 0.747
Se 0.790 0.231 0.747
Se 0.231 0.231 0.747
Se 0.241 0.241 0.277
Se 0.765 0.216 0.253
Se 0.216 0.765 0.253
Se 0.765 0.765 0.253
Se 0.758 0.758 0.727
```

Record 4
Compound: Sr2CaMnIn
Source: the Alexandria database
Functional: GGA-PBE
Structure: relaxed Values from VASP.

Magnetization = 3.3 μB per cell
Mass density = 3.44 g/cm³
DFT formation energy = 24 kJ per mole of atoms

```
&SYSTEM
  ibrav = 0, nat = 5, ntyp = 4
/
ATOMIC_SPECIES
Sr 87.62 Sr.upf
Ca 40.08 Ca.upf
Mn 54.94 Mn.upf
In 114.82 In.upf
CELL_PARAMETERS angstrom
5.942 0.000 0.000
0.000 5.264 0.000
0.000 0.000 5.942
ATOMIC_POSITIONS crystal
Sr 0.000 0.000 0.500
Sr 0.500 0.000 0.000
Ca 0.500 0.500 0.500
Mn 0.000 0.000 0.000
In 0.000 0.500 0.000
```

Record 5
Compound: Ca2MnInTc
Source: the Alexandria database
Functional: GGA-PBE
Structure: relaxed Values from VASP.

Magnetization = 0.0 μB per cell
Mass density = 3.99 g/cm³
DFT formation energy = 122 kJ per mole of atoms

```
&SYSTEM
  ibrav = 0, nat = 5, ntyp = 4
/
ATOMIC_SPECIES
Ca 40.08 Ca.upf
Mn 54.94 Mn.upf
Tc 98.00 Tc.upf
In 114.82 In.upf
CELL_PARAMETERS angstrom
-2.023 -3.683 3.173
-1.176 -2.934 -4.155
4.714 -2.325 0.307
ATOMIC_POSITIONS crystal
Ca 0.000 0.000 0.500
Ca 0.500 0.000 0.000
Mn 0.500 0.500 0.500
Tc 0.000 0.000 0.000
In 0.000 0.500 0.000
```

Record 6
Compound: CaIn2Mo
Source: the Alexandria database
Functional: GGA-PBE
Structure: relaxed Values from VASP.

Magnetization = 0.0 μB per cell
Mass density = 6.86 g/cm³
DFT formation energy = 32 kJ per mole of atoms

```
&SYSTEM
  ibrav = 0, nat = 4, ntyp = 3
/
ATOMIC_SPECIES
Mo 95.94 Mo.upf
Ca 40.08 Ca.upf
In 114.82 In.upf
CELL_PARAMETERS angstrom
-4.654 -2.983 -0.818
-2.802 -3.710 -3.100
1.802 -4.296 2.831
ATOMIC_POSITIONS crystal
Mo 0.498 0.498 0.507
Ca 0.248 0.248 0.251
In 0.998 0.998 0.006
In 0.755 0.755 0.736
```

- Which value of mass density does entry 3 give?
  5.05 g/cm³